Computed, not measured: an optimized crystal structure of SnPW2F at the GGA+U level of DFT.

Cell and atoms, written as extended XYZ:
```
5
Lattice="5.4050 0.0000 0.0000 0.0000 4.2183 0.0000 0.0000 0.0000 5.4050" Properties=species:S:1:pos:R:3 pbc="T T T"
P 2.7025 2.1091 2.7025
Sn 0.0000 0.0000 0.0000
W 0.0000 0.0000 2.7025
W 2.7025 0.0000 0.0000
F 0.0000 2.1091 0.0000
```

excess energy over the best structure of this formula in the dataset: 0.00 kJ/mol of atoms
theoretical density: 7.2 Mg/m³
D(E_F): 0.742 states/eV/f.u.